1.
An optimized crystal structure of Zr4CdHgC2, computed with PBE-GGA. Values from VASP.

Structure (Quantum ESPRESSO input):
```
&SYSTEM
  ibrav = 0, nat = 8, ntyp = 4
/
ATOMIC_SPECIES
Zr 91.22 Zr.upf
Cd 112.41 Cd.upf
Hg 200.59 Hg.upf
C 12.01 C.upf
ATOMIC_POSITIONS crystal
Zr 0.0000 0.0000 0.1652
Zr 0.0000 0.0000 0.8348
Zr 0.6667 0.3333 0.3308
Zr 0.6667 0.3333 0.6692
Cd 0.0000 0.0000 0.5000
Hg 0.6667 0.3333 0.0000
C 0.3333 0.6667 0.2481
C 0.3333 0.6667 0.7519
CELL_PARAMETERS angstrom
3.3479 0.0000 0.0000
-1.6739 2.8994 0.0000
0.0000 0.0000 15.1836
```

Computed properties:
E_tot in eV/atom: -7.289

***

2.
An optimized crystal structure of NaBiTeMo, computed with PBE-GGA. Values from VASP.

Structure (Quantum ESPRESSO input):
```
&SYSTEM
  ibrav = 0, nat = 4, ntyp = 4
/
ATOMIC_SPECIES
Na 22.99 Na.upf
Bi 208.98 Bi.upf
Te 127.60 Te.upf
Mo 95.94 Mo.upf
ATOMIC_POSITIONS crystal
Na 0.0000 0.0000 0.0000
Bi 0.7500 0.7500 0.7500
Te 0.2500 0.2500 0.2500
Mo 0.5000 0.5000 0.5000
CELL_PARAMETERS angstrom
0.0000 3.5825 3.5825
3.5825 0.0000 3.5825
3.5825 3.5825 0.0000
```

Computed properties:
Distance to the lowest polymorph of the same formula in eV per atom: 0.000
E_tot in eV/atom: -4.565

***

3.
An optimized crystal structure of RbAgTe2IrSe, computed with PBE-GGA. Values from VASP.

Structure (Quantum ESPRESSO input):
```
&SYSTEM
  ibrav = 0, nat = 12, ntyp = 5
/
ATOMIC_SPECIES
Rb 85.47 Rb.upf
Ag 107.87 Ag.upf
Te 127.60 Te.upf
Ir 192.22 Ir.upf
Se 78.96 Se.upf
ATOMIC_POSITIONS crystal
Rb 0.2392 0.7608 0.7500
Rb 0.7608 0.2392 0.2500
Ag 0.4535 0.5465 0.2500
Ag 0.5465 0.4535 0.7500
Te 0.3900 0.6100 0.0114
Te 0.3900 0.6100 0.4886
Te 0.6100 0.3900 0.5114
Te 0.6100 0.3900 0.9886
Ir 0.0000 0.0000 0.0000
Ir 0.0000 0.0000 0.5000
Se 0.0582 0.9418 0.2500
Se 0.9418 0.0582 0.7500
CELL_PARAMETERS angstrom
2.0282 -8.1503 0.0000
2.0282 8.1503 0.0000
0.0000 0.0000 10.4642
```

Computed properties:
E_tot in eV/atom: -3.969

***

4.
An optimized crystal structure of Pm2CdGe2, computed with PBE-GGA. Values from VASP.

Structure (Quantum ESPRESSO input):
```
&SYSTEM
  ibrav = 0, nat = 10, ntyp = 3
/
ATOMIC_SPECIES
Pm 145.00 Pm.upf
Cd 112.41 Cd.upf
Ge 72.64 Ge.upf
ATOMIC_POSITIONS crystal
Pm 0.1791 0.3209 0.0000
Pm 0.3209 0.8209 0.0000
Pm 0.6791 0.1791 0.0000
Pm 0.8209 0.6791 0.0000
Cd 0.0000 0.0000 0.5000
Cd 0.5000 0.5000 0.5000
Ge 0.1202 0.6202 0.5000
Ge 0.3798 0.1202 0.5000
Ge 0.6202 0.8798 0.5000
Ge 0.8798 0.3798 0.5000
CELL_PARAMETERS angstrom
7.4781 0.0000 0.0000
0.0000 7.4781 0.0000
0.0000 0.0000 4.3087
```

Computed properties:
E_tot in eV/atom: -4.670

***

5.
An optimized crystal structure of LiCd2Ag, computed with PBE-GGA. Values from VASP.

Structure (Quantum ESPRESSO input):
```
&SYSTEM
  ibrav = 0, nat = 4, ntyp = 3
/
ATOMIC_SPECIES
Li 6.94 Li.upf
Cd 112.41 Cd.upf
Ag 107.87 Ag.upf
ATOMIC_POSITIONS crystal
Li 0.0000 0.0000 0.0000
Cd 0.5000 0.5000 0.5000
Cd 0.7500 0.7500 0.7500
Ag 0.2500 0.2500 0.2500
CELL_PARAMETERS angstrom
0.0000 3.3203 3.3203
3.3203 0.0000 3.3203
3.3203 3.3203 0.0000
```

Computed properties:
Distance to the lowest polymorph of the same formula in eV per atom: 0.018
E_tot in eV/atom: -1.821

***

6.
An optimized crystal structure of Dy5N7, computed with PBE-GGA. Values from VASP.

Structure (Quantum ESPRESSO input):
```
&SYSTEM
  ibrav = 0, nat = 12, ntyp = 2
/
ATOMIC_SPECIES
Dy 162.50 Dy.upf
N 14.01 N.upf
ATOMIC_POSITIONS crystal
Dy 0.0000 0.0000 0.0000
Dy 0.0895 0.0895 0.4015
Dy 0.3027 0.3027 0.1985
Dy 0.6973 0.6973 0.8015
Dy 0.9105 0.9105 0.5985
N 0.1204 0.1204 0.8717
N 0.2709 0.2709 0.6480
N 0.3748 0.3748 0.8000
N 0.5000 0.5000 0.5000
N 0.6252 0.6252 0.2000
N 0.7291 0.7291 0.3520
N 0.8796 0.8796 0.1283
CELL_PARAMETERS angstrom
6.0868 -1.7289 0.0000
6.0868 1.7289 0.0000
-4.2212 0.0000 7.8187
```

Computed properties:
E_tot in eV/atom: -7.873

***

Look up the E_tot of the first one.
-7.289 eV/atom